[1]
# Sc4Os5 | the Alexandria database | PBE-GGA | optimized geometry
# energy of formation: -49 meV/atom
# N(E_F): 0.647 states/eV per atom
# E above lowest polymorph: 0.0 kJ/mol of atoms
# E: -9.102 eV/atom
# size of the total moment: 0.000 μB per formula unit
data_Sc4Os5
_cell_length_a 9.9741
_cell_length_b 9.9741
_cell_length_c 3.0639
_cell_angle_alpha 90.00
_cell_angle_beta 90.00
_cell_angle_gamma 90.00
_symmetry_space_group_name_H-M 'I 4/m m m'
_symmetry_Int_Tables_number 139
_symmetry_space_group_name_Hall '-I 4 2'
loop_
_atom_site_label
_atom_site_type_symbol
_atom_site_fract_x
_atom_site_fract_y
_atom_site_fract_z
Sc1 Sc 0.0000 0.3041 0.0000
Os1 Os 0.0000 0.0000 0.0000
Os2 Os 0.1683 0.1683 0.5000

[2]
# Sc5Os | the Alexandria database | PBE-GGA | optimized geometry
# energy of formation: -193 meV/atom
# N(E_F): 1.204 states/eV per atom
# E above lowest polymorph: 0.0 kJ/mol of atoms
# E: -7.341 eV/atom
# size of the total moment: 0.000 μB per formula unit
data_Sc5Os
_cell_length_a 11.2186
_cell_length_b 3.3205
_cell_length_c 7.6696
_cell_angle_alpha 90.00
_cell_angle_beta 111.90
_cell_angle_gamma 90.00
_symmetry_space_group_name_H-M 'C 1 2/m 1'
_symmetry_Int_Tables_number 12
loop_
_symmetry_equiv_pos_as_xyz
'x,y,z'
'-x,-y,-z'
'-x,y,-z'
'x,-y,z'
'x+1/2,y+1/2,z'
'-x+1/2,-y+1/2,-z'
'-x+1/2,y+1/2,-z'
'x+1/2,-y+1/2,z'
loop_
_atom_site_label
_atom_site_type_symbol
_atom_site_fract_x
_atom_site_fract_y
_atom_site_fract_z
Sc1 Sc 0.0000 0.0000 0.0000
Sc2 Sc 0.1374 0.5000 0.3639
Sc3 Sc 0.1616 0.5000 0.7856
Os1 Os 0.0000 0.0000 0.5000

[3]
# ScOs3 | the Alexandria database | PBE-GGA | optimized geometry
# energy of formation: 33 meV/atom
# N(E_F): 1.009 states/eV per atom
# E: -9.972 eV/atom
# size of the total moment: 0.000 μB per formula unit
data_ScOs3
_cell_length_a 5.5526
_cell_length_b 9.7480
_cell_length_c 4.5301
_cell_angle_alpha 90.00
_cell_angle_beta 90.00
_cell_angle_gamma 90.00
_symmetry_space_group_name_H-M 'C m c m'
_symmetry_Int_Tables_number 63
_symmetry_space_group_name_Hall '-C 2c 2'
loop_
_atom_site_label
_atom_site_type_symbol
_atom_site_fract_x
_atom_site_fract_y
_atom_site_fract_z
Sc1 Sc 0.0000 0.0778 0.2500
Os1 Os 0.0000 0.4212 0.7500
Os2 Os 0.2423 0.3226 0.2500

[4]
# ScOs2 | the Alexandria database | PBE-GGA | optimized geometry
# energy of formation: -69 meV/atom
# N(E_F): 0.958 states/eV per atom
# E: -9.666 eV/atom
# size of the total moment: 0.000 μB per formula unit
data_ScOs2
_cell_length_a 4.2352
_cell_length_b 4.2352
_cell_length_c 6.7147
_cell_angle_alpha 90.00
_cell_angle_beta 90.00
_cell_angle_gamma 120.00
_symmetry_space_group_name_H-M 'P 63/m m c'
_symmetry_Int_Tables_number 194
_symmetry_space_group_name_Hall '-P 6c 2c'
loop_
_atom_site_label
_atom_site_type_symbol
_atom_site_fract_x
_atom_site_fract_y
_atom_site_fract_z
Sc1 Sc 0.0000 0.0000 0.2500
Os1 Os 0.3333 0.6667 0.0483

[5]
# ScOs5 | the Alexandria database | PBE-GGA | optimized geometry
# energy of formation: 329 meV/atom
# N(E_F): 0.970 states/eV per atom
# E above lowest polymorph: 33.4 kJ/mol of atoms
# E: -10.084 eV/atom
# size of the total moment: 0.000 μB per formula unit
data_ScOs5
_cell_length_a 7.2678
_cell_length_b 7.2678
_cell_length_c 7.2678
_cell_angle_alpha 90.00
_cell_angle_beta 90.00
_cell_angle_gamma 90.00
_symmetry_space_group_name_H-M 'F -4 3 m'
_symmetry_Int_Tables_number 216
_symmetry_space_group_name_Hall 'F -4 2 3'
loop_
_atom_site_label
_atom_site_type_symbol
_atom_site_fract_x
_atom_site_fract_y
_atom_site_fract_z
Sc1 Sc 0.0000 0.0000 0.0000
Os1 Os 0.1248 0.1248 0.6248
Os2 Os 0.2500 0.2500 0.2500

[6]
# Sc3Os | the Alexandria database | PBE-GGA | optimized geometry
# energy of formation: -116 meV/atom
# N(E_F): 1.277 states/eV per atom
# E: -7.672 eV/atom
# size of the total moment: 0.000 μB per formula unit
data_Sc3Os
_cell_length_a 3.1781
_cell_length_b 4.3993
_cell_length_c 5.8660
_cell_angle_alpha 90.00
_cell_angle_beta 104.63
_cell_angle_gamma 90.00
_symmetry_space_group_name_H-M 'P 1 2/m 1'
_symmetry_Int_Tables_number 10
loop_
_symmetry_equiv_pos_as_xyz
'x,y,z'
'-x,-y,-z'
'-x,y,-z'
'x,-y,z'
loop_
_atom_site_label
_atom_site_type_symbol
_atom_site_fract_x
_atom_site_fract_y
_atom_site_fract_z
Sc1 Sc 0.0000 0.0000 0.0000
Sc2 Sc 0.3187 0.5000 0.7215
Os1 Os 0.5000 0.0000 0.5000

[7]
# ScOs3 | the Alexandria database | PBE-GGA | optimized geometry
# energy of formation: 92 meV/atom
# N(E_F): 1.078 states/eV per atom
# E: -9.913 eV/atom
# size of the total moment: 0.000 μB per formula unit
data_ScOs3
_cell_length_a 5.6137
_cell_length_b 5.6137
_cell_length_c 4.5038
_cell_angle_alpha 90.00
_cell_angle_beta 90.00
_cell_angle_gamma 120.00
_symmetry_space_group_name_H-M 'P 63/m m c'
_symmetry_Int_Tables_number 194
_symmetry_space_group_name_Hall '-P 6c 2c'
loop_
_atom_site_label
_atom_site_type_symbol
_atom_site_fract_x
_atom_site_fract_y
_atom_site_fract_z
Sc1 Sc 0.3333 0.6667 0.2500
Os1 Os 0.1661 0.3323 0.7500

[8]
# ScOs3 | the Alexandria database | PBE-GGA | optimized geometry
# energy of formation: 92 meV/atom
# N(E_F): 1.383 states/eV per atom
# E: -9.914 eV/atom
# size of the total moment: 0.000 μB per formula unit
data_ScOs3
_cell_length_a 3.9470
_cell_length_b 3.9470
_cell_length_c 3.9470
_cell_angle_alpha 90.00
_cell_angle_beta 90.00
_cell_angle_gamma 90.00
_symmetry_space_group_name_H-M 'P m -3 m'
_symmetry_Int_Tables_number 221
_symmetry_space_group_name_Hall '-P 4 2 3'
loop_
_atom_site_label
_atom_site_type_symbol
_atom_site_fract_x
_atom_site_fract_y
_atom_site_fract_z
Sc1 Sc 0.0000 0.0000 0.0000
Os1 Os 0.0000 0.5000 0.5000

[9]
# ScOs3 | the Alexandria database | PBE-GGA | optimized geometry
# energy of formation: 13 meV/atom
# N(E_F): 0.741 states/eV per atom
# E: -9.992 eV/atom
# size of the total moment: 0.000 μB per formula unit
data_ScOs3
_cell_length_a 2.8053
_cell_length_b 2.8053
_cell_length_c 7.9556
_cell_angle_alpha 90.00
_cell_angle_beta 90.00
_cell_angle_gamma 90.00
_symmetry_space_group_name_H-M 'P 4/m m m'
_symmetry_Int_Tables_number 123
_symmetry_space_group_name_Hall '-P 4 2'
loop_
_atom_site_label
_atom_site_type_symbol
_atom_site_fract_x
_atom_site_fract_y
_atom_site_fract_z
Sc1 Sc 0.0000 0.0000 0.0000
Os1 Os 0.0000 0.0000 0.5000
Os2 Os 0.5000 0.5000 0.2721

[10]
# ScOs2 | the Alexandria database | PBE-GGA | optimized geometry
# energy of formation: 629 meV/atom
# N(E_F): 1.115 states/eV per atom
# E: -8.968 eV/atom
# size of the total moment: 0.000 μB per formula unit
data_ScOs2
_cell_length_a 6.3872
_cell_length_b 6.3872
_cell_length_c 4.2867
_cell_angle_alpha 90.00
_cell_angle_beta 90.00
_cell_angle_gamma 120.00
_symmetry_space_group_name_H-M 'P -6 2 m'
_symmetry_Int_Tables_number 189
_symmetry_space_group_name_Hall 'P -6 -2'
loop_
_atom_site_label
_atom_site_type_symbol
_atom_site_fract_x
_atom_site_fract_y
_atom_site_fract_z
Sc1 Sc 0.0000 0.0000 0.0000
Sc2 Sc 0.3333 0.6667 0.5000
Os1 Os 0.0000 0.2361 0.5000
Os2 Os 0.0000 0.5243 0.0000

[11]
# ScOs2 | the Alexandria database | PBE-GGA | optimized geometry
# energy of formation: -159 meV/atom
# N(E_F): 0.625 states/eV per atom
# E: -9.756 eV/atom
# size of the total moment: 0.000 μB per formula unit
data_ScOs2
_cell_length_a 2.8474
_cell_length_b 2.8474
_cell_length_c 12.1053
_cell_angle_alpha 90.00
_cell_angle_beta 90.00
_cell_angle_gamma 90.00
_symmetry_space_group_name_H-M 'I 4/m m m'
_symmetry_Int_Tables_number 139
_symmetry_space_group_name_Hall '-I 4 2'
loop_
_atom_site_label
_atom_site_type_symbol
_atom_site_fract_x
_atom_site_fract_y
_atom_site_fract_z
Sc1 Sc 0.0000 0.0000 0.0000
Os1 Os 0.0000 0.0000 0.3187

[12]
# Sc4Os3 | the Alexandria database | PBE-GGA | optimized geometry
# energy of formation: -229 meV/atom
# N(E_F): 1.524 states/eV per atom
# E above lowest polymorph: 0.0 kJ/mol of atoms
# E: -8.659 eV/atom
# size of the total moment: 0.001 μB per formula unit
data_Sc4Os3
_cell_length_a 5.2231
_cell_length_b 5.2231
_cell_length_c 5.4941
_cell_angle_alpha 90.00
_cell_angle_beta 90.00
_cell_angle_gamma 120.00
_symmetry_space_group_name_H-M 'P 6/m m m'
_symmetry_Int_Tables_number 191
_symmetry_space_group_name_Hall '-P 6 2'
loop_
_atom_site_label
_atom_site_type_symbol
_atom_site_fract_x
_atom_site_fract_y
_atom_site_fract_z
Sc1 Sc 0.0000 0.0000 0.2419
Sc2 Sc 0.3333 0.6667 0.5000
Os1 Os 0.0000 0.5000 0.0000

[13]
# Sc5Os | the Alexandria database | PBE-GGA | optimized geometry
# energy of formation: -87 meV/atom
# N(E_F): 1.157 states/eV per atom
# E above lowest polymorph: 10.3 kJ/mol of atoms
# E: -7.235 eV/atom
# size of the total moment: 0.000 μB per formula unit
data_Sc5Os
_cell_length_a 4.6462
_cell_length_b 11.5507
_cell_length_c 4.7595
_cell_angle_alpha 90.00
_cell_angle_beta 90.00
_cell_angle_gamma 90.00
_symmetry_space_group_name_H-M 'C m m m'
_symmetry_Int_Tables_number 65
_symmetry_space_group_name_Hall '-C 2 2'
loop_
_atom_site_label
_atom_site_type_symbol
_atom_site_fract_x
_atom_site_fract_y
_atom_site_fract_z
Sc1 Sc 0.0000 0.0000 0.0000
Sc2 Sc 0.0000 0.1443 0.5000
Sc3 Sc 0.0000 0.3499 0.0000
Os1 Os 0.0000 0.5000 0.5000

[14]
# ScOs2 | the Alexandria database | PBE-GGA | optimized geometry
# energy of formation: -124 meV/atom
# N(E_F): 0.917 states/eV per atom
# E: -9.721 eV/atom
# size of the total moment: 0.000 μB per formula unit
data_ScOs2
_cell_length_a 10.3949
_cell_length_b 2.8591
_cell_length_c 6.7406
_cell_angle_alpha 90.00
_cell_angle_beta 104.41
_cell_angle_gamma 90.00
_symmetry_space_group_name_H-M 'C 1 2/m 1'
_symmetry_Int_Tables_number 12
loop_
_symmetry_equiv_pos_as_xyz
'x,y,z'
'-x,-y,-z'
'-x,y,-z'
'x,-y,z'
'x+1/2,y+1/2,z'
'-x+1/2,-y+1/2,-z'
'-x+1/2,y+1/2,-z'
'x+1/2,-y+1/2,z'
loop_
_atom_site_label
_atom_site_type_symbol
_atom_site_fract_x
_atom_site_fract_y
_atom_site_fract_z
Sc1 Sc 0.0103 0.0000 0.2853
Os1 Os 0.1520 0.5000 0.0333
Os2 Os 0.2165 0.5000 0.6440